Entry 1:
SrCoNO: relaxed, PBE+U.

Structure (CIF):
```
data_SrCoNO
_cell_length_a 4.7683
_cell_length_b 4.7683
_cell_length_c 5.1666
_cell_angle_alpha 90.00
_cell_angle_beta 90.00
_cell_angle_gamma 90.00
_symmetry_space_group_name_H-M 'P 4/n m m'
_symmetry_Int_Tables_number 129
loop_
_symmetry_equiv_pos_as_xyz
'x,y,z'
'-x,-y,-z'
'-y+1/2,x,z'
'y+1/2,-x,-z'
'-x+1/2,-y+1/2,z'
'x+1/2,y+1/2,-z'
'y,-x+1/2,z'
'-y,x+1/2,-z'
'x+1/2,-y,-z'
'-x+1/2,y,z'
'-y,-x,-z'
'y,x,z'
'-x,y+1/2,-z'
'x,-y+1/2,z'
'y+1/2,x+1/2,-z'
'-y+1/2,-x+1/2,z'
loop_
_atom_site_label
_atom_site_type_symbol
_atom_site_fract_x
_atom_site_fract_y
_atom_site_fract_z
Sr1 Sr 0.2500 0.7500 0.0000
Co1 Co 0.2500 0.2500 0.4467
N1 N 0.2500 0.2500 0.1109
O1 O 0.2500 0.7500 0.5000
```

ΔE to the lowest computed polymorph = 2.12 eV per formula unit
DFT total energy = -43.84 eV for the cell shown
Crystal system = tetragonal

Entry 2:
TbCoNO: relaxed, PBE+U.

Structure (CIF):
```
data_TbCoNO
_cell_length_a 4.8035
_cell_length_b 4.8035
_cell_length_c 4.3541
_cell_angle_alpha 90.00
_cell_angle_beta 90.00
_cell_angle_gamma 90.00
_symmetry_space_group_name_H-M 'P 4/n m m'
_symmetry_Int_Tables_number 129
loop_
_symmetry_equiv_pos_as_xyz
'x,y,z'
'-x,-y,-z'
'-y+1/2,x,z'
'y+1/2,-x,-z'
'-x+1/2,-y+1/2,z'
'x+1/2,y+1/2,-z'
'y,-x+1/2,z'
'-y,x+1/2,-z'
'x+1/2,-y,-z'
'-x+1/2,y,z'
'-y,-x,-z'
'y,x,z'
'-x,y+1/2,-z'
'x,-y+1/2,z'
'y+1/2,x+1/2,-z'
'-y+1/2,-x+1/2,z'
loop_
_atom_site_label
_atom_site_type_symbol
_atom_site_fract_x
_atom_site_fract_y
_atom_site_fract_z
Tb1 Tb 0.2500 0.7500 0.0000
Co1 Co 0.2500 0.2500 0.4989
N1 N 0.2500 0.2500 0.0016
O1 O 0.2500 0.7500 0.5000
```

ΔE to the lowest computed polymorph = 0.84 eV per formula unit
DFT total energy = -55.87 eV for the cell shown
Crystal system = tetragonal

Entry 3:
TbCoNO: relaxed, PBE+U.

Structure (CIF):
```
data_TbCoNO
_cell_length_a 3.6803
_cell_length_b 3.6803
_cell_length_c 7.6503
_cell_angle_alpha 90.00
_cell_angle_beta 90.00
_cell_angle_gamma 90.00
_symmetry_space_group_name_H-M 'P 4/n m m'
_symmetry_Int_Tables_number 129
loop_
_symmetry_equiv_pos_as_xyz
'x,y,z'
'-x,-y,-z'
'-y+1/2,x,z'
'y+1/2,-x,-z'
'-x+1/2,-y+1/2,z'
'x+1/2,y+1/2,-z'
'y,-x+1/2,z'
'-y,x+1/2,-z'
'x+1/2,-y,-z'
'-x+1/2,y,z'
'-y,-x,-z'
'y,x,z'
'-x,y+1/2,-z'
'x,-y+1/2,z'
'y+1/2,x+1/2,-z'
'-y+1/2,-x+1/2,z'
loop_
_atom_site_label
_atom_site_type_symbol
_atom_site_fract_x
_atom_site_fract_y
_atom_site_fract_z
Tb1 Tb 0.2500 0.2500 0.1574
Co1 Co 0.2500 0.7500 0.5000
N1 N 0.2500 0.2500 0.6313
O1 O 0.2500 0.7500 0.0000
```

ΔE to the lowest computed polymorph = 0.60 eV per formula unit
DFT total energy = -56.35 eV for the cell shown
Crystal system = tetragonal

Entry 4:
TbCoNO: relaxed, PBE+U.

Structure (CIF):
```
data_TbCoNO
_cell_length_a 3.7122
_cell_length_b 3.7122
_cell_length_c 7.1272
_cell_angle_alpha 90.00
_cell_angle_beta 90.00
_cell_angle_gamma 90.00
_symmetry_space_group_name_H-M 'P 4/n m m'
_symmetry_Int_Tables_number 129
loop_
_symmetry_equiv_pos_as_xyz
'x,y,z'
'-x,-y,-z'
'-y+1/2,x,z'
'y+1/2,-x,-z'
'-x+1/2,-y+1/2,z'
'x+1/2,y+1/2,-z'
'y,-x+1/2,z'
'-y,x+1/2,-z'
'x+1/2,-y,-z'
'-x+1/2,y,z'
'-y,-x,-z'
'y,x,z'
'-x,y+1/2,-z'
'x,-y+1/2,z'
'y+1/2,x+1/2,-z'
'-y+1/2,-x+1/2,z'
loop_
_atom_site_label
_atom_site_type_symbol
_atom_site_fract_x
_atom_site_fract_y
_atom_site_fract_z
Tb1 Tb 0.2500 0.2500 0.1663
Co1 Co 0.2500 0.7500 0.5000
N1 N 0.2500 0.2500 0.5865
O1 O 0.2500 0.7500 0.0000
```

ΔE to the lowest computed polymorph = 0.52 eV per formula unit
DFT total energy = -56.52 eV for the cell shown
Crystal system = tetragonal

Entry 5:
TbCoNO: relaxed, PBE+U.

Structure (CIF):
```
data_TbCoNO
_cell_length_a 3.3937
_cell_length_b 5.4910
_cell_length_c 5.6357
_cell_angle_alpha 90.00
_cell_angle_beta 90.00
_cell_angle_gamma 90.00
_symmetry_space_group_name_H-M 'P m c 21'
_symmetry_Int_Tables_number 26
loop_
_symmetry_equiv_pos_as_xyz
'x,y,z'
'-x,-y,z+1/2'
'-x,y,z'
'x,-y,z+1/2'
loop_
_atom_site_label
_atom_site_type_symbol
_atom_site_fract_x
_atom_site_fract_y
_atom_site_fract_z
Tb1 Tb 0.0000 0.2006 0.0000
Co1 Co 0.5000 0.2576 0.5291
N1 N 0.5000 0.0528 0.2509
O1 O 0.0000 0.4141 0.6379
```

ΔE to the lowest computed polymorph = 0.45 eV per formula unit
DFT total energy = -56.65 eV for the cell shown
Crystal system = orthorhombic

Entry 6:
TbCoNO: relaxed, PBE+U.

Structure (CIF):
```
data_TbCoNO
_cell_length_a 5.4685
_cell_length_b 7.4555
_cell_length_c 5.4774
_cell_angle_alpha 90.00
_cell_angle_beta 90.00
_cell_angle_gamma 90.00
_symmetry_space_group_name_H-M 'P c a 21'
_symmetry_Int_Tables_number 29
loop_
_symmetry_equiv_pos_as_xyz
'x,y,z'
'-x,-y,z+1/2'
'-x+1/2,y,z+1/2'
'x+1/2,-y,z'
loop_
_atom_site_label
_atom_site_type_symbol
_atom_site_fract_x
_atom_site_fract_y
_atom_site_fract_z
Tb1 Tb 0.0347 0.1467 0.0000
Co1 Co 0.0808 0.4688 0.6196
N1 N 0.1349 0.3766 0.2960
O1 O 0.2475 0.9704 0.2433
```

ΔE to the lowest computed polymorph = 0.00 eV per formula unit
DFT total energy = -115.11 eV for the cell shown
Crystal system = orthorhombic

What did the third record say?
TbCoNO: relaxed, PBE+U.

Structure (CIF):
```
data_TbCoNO
_cell_length_a 3.6803
_cell_length_b 3.6803
_cell_length_c 7.6503
_cell_angle_alpha 90.00
_cell_angle_beta 90.00
_cell_angle_gamma 90.00
_symmetry_space_group_name_H-M 'P 4/n m m'
_symmetry_Int_Tables_number 129
loop_
_symmetry_equiv_pos_as_xyz
'x,y,z'
'-x,-y,-z'
'-y+1/2,x,z'
'y+1/2,-x,-z'
'-x+1/2,-y+1/2,z'
'x+1/2,y+1/2,-z'
'y,-x+1/2,z'
'-y,x+1/2,-z'
'x+1/2,-y,-z'
'-x+1/2,y,z'
'-y,-x,-z'
'y,x,z'
'-x,y+1/2,-z'
'x,-y+1/2,z'
'y+1/2,x+1/2,-z'
'-y+1/2,-x+1/2,z'
loop_
_atom_site_label
_atom_site_type_symbol
_atom_site_fract_x
_atom_site_fract_y
_atom_site_fract_z
Tb1 Tb 0.2500 0.2500 0.1574
Co1 Co 0.2500 0.7500 0.5000
N1 N 0.2500 0.2500 0.6313
O1 O 0.2500 0.7500 0.0000
```

ΔE to the lowest computed polymorph = 0.60 eV per formula unit
DFT total energy = -56.35 eV for the cell shown
Crystal system = tetragonal